Record 1
Entry from Alexandria: a PBEsol-optimized structure of CoRe2Si (SCAN).

Total moment   1.28 μB/f.u.
Formation energy without anion corrections   40 meV/atom
ρ   14.85 g/cm3

Cell lengths 3.734, 3.734, 7.368 Å; angles 90.00, 90.00, 90.00 degrees
Space group I-4m2 (No. 119)
Unique sites:
1 Co 0.000 0.000 0.000 x2
2 Re 0.000 0.000 0.500 x2
3 Re 0.000 0.500 0.250 x2
4 Si 0.000 0.500 0.750 x2

Record 2
Entry from Alexandria: a PBEsol-optimized structure of LiPb3C (SCAN).

Formation enthalpy at 0 K   1.327 eV/atom
Total moment   1.32 μB/f.u.
ρ   8.77 g/cm3

Cell lengths 4.951, 4.951, 4.951 Å; angles 90.00, 90.00, 90.00 degrees
Space group Pm-3m (No. 221)
Unique sites:
1 Li 0.000 0.000 0.000 x1
2 Pb 0.000 0.000 0.500 x3
3 C 0.500 0.500 0.500 x1

Record 3
Entry from Alexandria: a PBEsol-optimized structure of Be2AuBr (SCAN).

Energy relative to the lowest polymorph listed for this composition   1018.3 meV/atom
Total moment   0.00 μB/f.u.
Formation energy without anion corrections   736 meV/atom
ρ   8.23 g/cm3

Cell lengths 4.075, 4.075, 7.162 Å; angles 90.00, 90.00, 90.00 degrees
Space group I4/mmm (No. 139)
Unique sites:
1 Be 0.000 0.500 0.250 x4
2 Au 0.000 0.000 0.000 x2
3 Br 0.000 0.000 0.500 x2

Record 4
Entry from Alexandria: a PBEsol-optimized structure of Li2MgAu2 (SCAN).

Formation enthalpy at 0 K   -0.573 eV/atom
Total moment   0.00 μB/f.u.
ρ   8.62 g/cm3

Cell lengths 7.117, 7.117, 3.286 Å; angles 90.00, 90.00, 90.00 degrees
Space group P4/mbm (No. 127)
Unique sites:
1 Li 0.155 0.345 0.000 x4
2 Mg 0.000 0.000 0.500 x2
3 Au 0.141 0.641 0.500 x4